DFT (PBE) results for a geometry-optimized Cs2NpTlO5 structure. Values from VASP.

Structure (Quantum ESPRESSO input):
```
&SYSTEM
  ibrav = 0, nat = 9, ntyp = 4
/
ATOMIC_SPECIES
O 16.00 O.upf
Cs 132.91 Cs.upf
Tl 204.38 Tl.upf
Np 237.00 Np.upf
ATOMIC_POSITIONS crystal
O 0.602 0.891 0.203
O 0.000 0.000 0.000
Cs 0.227 0.227 0.453
O 0.398 0.109 0.797
Cs 0.773 0.773 0.547
O 0.602 0.312 0.203
O 0.398 0.688 0.797
Tl 0.000 0.500 0.000
Np 0.500 0.000 0.000
CELL_PARAMETERS angstrom
-0.255 -4.331 0.548
5.736 0.067 3.203
-6.093 3.086 4.107
```

Results
Crystal system   orthorhombic
Formation energy without anion corrections   -2.01 eV/atom

***

DFT (PBE) results for a geometry-optimized CsNpTl2O6 structure. Values from VASP.

Structure (Quantum ESPRESSO input):
```
&SYSTEM
  ibrav = 0, nat = 10, ntyp = 4
/
ATOMIC_SPECIES
O 16.00 O.upf
Cs 132.91 Cs.upf
Tl 204.38 Tl.upf
Np 237.00 Np.upf
ATOMIC_POSITIONS crystal
O 0.099 0.369 0.854
O 0.292 0.712 0.862
Cs 0.755 0.797 0.610
Tl 0.547 0.545 0.343
Tl 0.007 0.029 0.999
O 0.645 0.195 0.811
O 0.332 0.972 0.136
O 0.038 0.490 0.214
Np 0.330 0.328 0.010
O 0.618 0.224 0.176
CELL_PARAMETERS angstrom
6.180 0.206 -0.055
3.269 5.307 -0.191
3.085 1.662 6.846
```

Results
Crystal system   triclinic
Formation energy without anion corrections   -1.66 eV/atom

***

DFT (PBE) results for a geometry-optimized Cs4TmNp3O12 structure. Values from VASP.

Structure (Quantum ESPRESSO input):
```
&SYSTEM
  ibrav = 0, nat = 20, ntyp = 4
/
ATOMIC_SPECIES
O 16.00 O.upf
Np 237.00 Np.upf
Cs 132.91 Cs.upf
Tm 168.93 Tm.upf
ATOMIC_POSITIONS crystal
O 0.733 0.733 0.000
Np 0.000 0.500 0.500
O 0.500 0.250 0.750
O 0.267 0.267 0.000
O 0.250 0.750 0.500
O 0.733 0.000 0.733
Cs 0.000 0.500 0.000
Cs 0.000 0.000 0.500
Np 0.500 0.000 0.500
Np 0.500 0.500 0.000
O 0.750 0.500 0.250
O 0.250 0.500 0.750
O 0.267 0.000 0.267
O 0.500 0.750 0.250
O 0.750 0.250 0.500
O 0.000 0.267 0.267
Tm 0.000 0.000 0.000
Cs 0.500 0.500 0.500
Cs 0.500 0.000 0.000
O 0.000 0.733 0.733
CELL_PARAMETERS angstrom
7.589 0.000 0.000
-2.530 7.155 0.000
-2.530 -3.577 6.196
```

Results
Crystal system   cubic
Formation energy without anion corrections   -2.62 eV/atom

***

DFT (PBE) results for a geometry-optimized CsTm2NpO8 structure. Values from VASP.

Structure (Quantum ESPRESSO input):
```
&SYSTEM
  ibrav = 0, nat = 12, ntyp = 4
/
ATOMIC_SPECIES
O 16.00 O.upf
Tm 168.93 Tm.upf
Np 237.00 Np.upf
Cs 132.91 Cs.upf
ATOMIC_POSITIONS crystal
O 0.809 0.192 0.181
O 0.699 0.700 0.000
Tm 0.500 0.500 0.215
O 0.191 0.808 0.819
O 0.301 0.300 0.000
O 0.395 0.394 0.500
O 0.191 0.808 0.181
Np 0.000 0.000 0.000
O 0.605 0.606 0.500
Tm 0.500 0.500 0.785
O 0.809 0.192 0.819
Cs 0.000 0.000 0.500
CELL_PARAMETERS angstrom
5.099 -0.001 -0.002
0.030 5.099 -0.004
0.006 0.009 7.763
```

Results
Crystal system   monoclinic
Formation energy without anion corrections   -2.61 eV/atom